Here is an optimized crystal structure of Na4Zr2TiMnSi4O16F2 from Alexandria. Energies are from GGA+U.

a b c (Å): 5.6599 7.1910 18.3197
angles (deg): 90.00 95.10 90.00
Site moments in Bohr magnetons follow the coordinates.
Atoms (fractional coordinates):
Na  0.2500  0.3475  0.2500  0.00
Na  0.7500  0.6525  0.7500  0.00
Na  0.1366  0.1138  0.4300  0.00
Na  0.8634  0.8862  0.5700  0.00
Na  0.3634  0.1138  0.0700  0.00
Na  0.6366  0.8862  0.9300  0.00
Na  0.7500  0.1099  0.2500  0.00
Na  0.2500  0.8901  0.7500  0.00
Zr  0.1251  0.6215  0.4250  0.01
Zr  0.8749  0.3785  0.5750  0.01
Zr  0.3749  0.6215  0.0750  0.01
Zr  0.6251  0.3785  0.9250  0.01
Ti  0.7500  0.6091  0.2500  0.01
Ti  0.2500  0.3909  0.7500  0.01
Mn  0.2500  0.8503  0.2500  4.66
Mn  0.7500  0.1497  0.7500  4.66
Si  0.8831  0.3420  0.1053  0.00
Si  0.1169  0.6580  0.8947  0.00
Si  0.6169  0.3420  0.3947  0.00
Si  0.3831  0.6580  0.6053  0.00
Si  0.3798  0.1132  0.6052  0.00
Si  0.6202  0.8868  0.3948  0.00
Si  0.1202  0.1132  0.8948  0.00
Si  0.8798  0.8868  0.1052  0.00
O  0.6497  0.4095  0.0513  0.00
O  0.3503  0.5905  0.9487  0.00
O  0.8503  0.4095  0.4487  0.00
O  0.1497  0.5905  0.5513  0.00
O  0.3816  0.8253  0.4331  0.00
O  0.6184  0.1747  0.5669  0.00
O  0.1184  0.8253  0.0669  0.00
O  0.8816  0.1747  0.9331  0.00
O  0.3628  0.4026  0.4216  0.00
O  0.6372  0.5974  0.5784  0.00
O  0.1372  0.4026  0.0784  0.00
O  0.8628  0.5974  0.9216  0.00
O  0.1340  0.1746  0.5586  0.00
O  0.8660  0.8254  0.4414  0.00
O  0.3660  0.1746  0.9414  0.00
O  0.6340  0.8254  0.0586  0.00
O  0.0463  0.6302  0.3144  0.01
O  0.9537  0.3698  0.6856  0.01
O  0.4537  0.6302  0.1856  0.01
O  0.5463  0.3698  0.8144  0.01
O  0.8718  0.1149  0.1109  0.00
O  0.1282  0.8851  0.8891  0.00
O  0.6282  0.1149  0.3891  0.00
O  0.3718  0.8851  0.6109  0.00
O  0.8659  0.4159  0.1892  0.00
O  0.1341  0.5841  0.8108  0.00
O  0.6341  0.4159  0.3108  0.00
O  0.3659  0.5841  0.6892  0.00
O  0.4012  0.1889  0.6903  0.01
O  0.5988  0.8111  0.3097  0.01
O  0.0988  0.1889  0.8097  0.01
O  0.9012  0.8111  0.1903  0.01
F  0.1123  0.0810  0.3077  0.02
F  0.8877  0.9190  0.6923  0.02
F  0.3877  0.0810  0.1923  0.02
F  0.6123  0.9190  0.8077  0.02

- Total DFT energy (no corrections): -0.554 Ry/atom

=====

Here is an optimized crystal structure of Na2MnPbF from Alexandria. Energies are from GGA+U.

a b c (Å): 6.1767 3.8647 6.1767
angles (deg): 90.00 90.00 90.00
Site moments in Bohr magnetons follow the coordinates.
Atoms (fractional coordinates):
Pb  0.5000  0.5000  0.5000  0.01
Na  0.0000  0.0000  0.5000  -0.01
Na  0.5000  0.0000  0.0000  -0.01
Mn  0.0000  0.0000  0.0000  4.46
F  0.0000  0.5000  0.0000  0.03

- Total DFT energy (no corrections): -0.259 Ry/atom

=====

Question: What is the formula in the first record?
Answer: Na4Zr2TiMnSi4O16F2

=====

Question: Which of these has the lowest total DFT energy (no corrections)?
Answer: Na4Zr2TiMnSi4O16F2

=====

Question: Among the records above, which one has the highest total DFT energy (no corrections)?
Answer: Na2MnPbF